[1]
Entry from the Alexandria database: an optimized crystal structure of LaAg4Pd8 (GGA-PBE).

Output
SG	I4/mmm (139)
formation enthalpy at 0 K	-0.1771	eV per atom

POSCAR file:
```
LaAg4Pd8
1.0
5.333 0.000 0.000
2.666 6.599 0.000
2.666 0.000 6.599
La Ag Pd
1 4 8
Direct
0.000 0.000 0.000 La
0.000 0.000 0.500 Ag
0.500 0.000 0.500 Ag
0.000 0.500 0.000 Ag
0.500 0.500 0.000 Ag
0.000 0.354 0.646 Pd
0.000 0.646 0.354 Pd
0.354 0.646 0.646 Pd
0.646 0.354 0.354 Pd
0.500 0.784 0.216 Pd
0.500 0.216 0.784 Pd
0.284 0.216 0.216 Pd
0.716 0.784 0.784 Pd
```

=====

[2]
Entry from the Alexandria database: an optimized crystal structure of CsNa2UCl6 (GGA-PBE).

Output
SG	R3 (146)

POSCAR file:
```
CsNa2UCl6
1.0
7.413 0.002 0.001
3.708 6.418 0.000
3.707 2.140 6.720
Cs Na U Cl
1 2 1 6
Direct
0.790 0.790 0.629 Cs
0.521 0.521 0.436 Na
0.004 0.004 0.988 Na
0.324 0.324 0.029 U
0.590 0.257 0.225 Cl
0.257 0.928 0.225 Cl
0.928 0.590 0.225 Cl
0.314 0.729 0.753 Cl
0.730 0.203 0.753 Cl
0.203 0.314 0.753 Cl
```

=====

Total DFT energy (no corrections), record by record: -0.17011; -0.16094 Ha/atom